# MnZn2Sb PBE relaxed
# raw total energy = -3.80 eV/atom
# total magnetization = 3.43 μB/f.u.
# formation energy from raw total energies = 0.157 eV per atom
# space group = Cmmm
data_MnZn2Sb
_cell_length_a 4.2454
_cell_length_b 4.2454
_cell_length_c 4.0311
_cell_angle_alpha 90.00
_cell_angle_beta 90.00
_cell_angle_gamma 101.81
_symmetry_space_group_name_H-M 'P 1'
_symmetry_Int_Tables_number 1
loop_
_symmetry_equiv_pos_as_xyz
'x,y,z'
loop_
_atom_site_label
_atom_site_fract_x
_atom_site_fract_y
_atom_site_fract_z
_atom_site_occupancy
Mn1 0.5000 0.0000 0.5000 1
Sb1 0.0000 0.5000 0.5000 1
Zn1 0.5000 0.5000 0.0000 1
Zn2 0.0000 0.0000 0.0000 1

=====

# MnZn2Sb PBE relaxed
# raw total energy = -3.80 eV/atom
# total magnetization = 3.56 μB/f.u.
# formation energy from raw total energies = 0.159 eV per atom
# space group = P4/mmm
data_MnZn2Sb
_cell_length_a 4.0478
_cell_length_b 4.0472
_cell_length_c 4.2750
_cell_angle_alpha 90.00
_cell_angle_beta 90.00
_cell_angle_gamma 90.00
_symmetry_space_group_name_H-M 'P 1'
_symmetry_Int_Tables_number 1
loop_
_symmetry_equiv_pos_as_xyz
'x,y,z'
loop_
_atom_site_label
_atom_site_fract_x
_atom_site_fract_y
_atom_site_fract_z
_atom_site_occupancy
Mn1 0.5000 0.0000 0.5000 1
Zn1 0.0000 0.0000 0.0000 1
Zn2 0.5000 0.5000 0.0000 1
Sb1 0.0000 0.5000 0.5000 1

=====

# MnZn2Sb PBE relaxed
# raw total energy = -3.76 eV/atom
# total magnetization = 3.15 μB/f.u.
# formation energy from raw total energies = 0.200 eV per atom
# space group = P4mm
data_MnZn2Sb
_cell_length_a 3.0131
_cell_length_b 3.0131
_cell_length_c 8.0430
_cell_angle_alpha 90.00
_cell_angle_beta 90.00
_cell_angle_gamma 90.03
_symmetry_space_group_name_H-M 'P 1'
_symmetry_Int_Tables_number 1
loop_
_symmetry_equiv_pos_as_xyz
'x,y,z'
loop_
_atom_site_label
_atom_site_fract_x
_atom_site_fract_y
_atom_site_fract_z
_atom_site_occupancy
Sb1 0.5000 0.5000 0.7127 1
Mn1 0.0000 0.0000 0.4670 1
Zn1 0.0000 0.0000 0.0556 1
Zn2 0.5000 0.5000 0.2647 1

=====

# MnZn2Sb PBE relaxed
# raw total energy = -3.78 eV/atom
# total magnetization = 3.16 μB/f.u.
# formation energy from raw total energies = 0.185 eV per atom
# space group = P4/mmm
data_MnZn2Sb
_cell_length_a 3.6302
_cell_length_b 3.6315
_cell_length_c 5.3387
_cell_angle_alpha 90.00
_cell_angle_beta 90.00
_cell_angle_gamma 90.00
_symmetry_space_group_name_H-M 'P 1'
_symmetry_Int_Tables_number 1
loop_
_symmetry_equiv_pos_as_xyz
'x,y,z'
loop_
_atom_site_label
_atom_site_fract_x
_atom_site_fract_y
_atom_site_fract_z
_atom_site_occupancy
Mn1 0.5000 0.5000 0.2500 1
Zn1 0.0000 0.0000 0.4809 1
Zn2 0.0000 0.0000 0.0191 1
Sb1 0.5000 0.5000 0.7500 1

=====

# MnZn2Sb PBE relaxed
# raw total energy = -3.81 eV/atom
# total magnetization = 2.94 μB/f.u.
# formation energy from raw total energies = 0.150 eV per atom
# space group = I-4m2
data_MnZn2Sb
_cell_length_a 5.1052
_cell_length_b 5.1052
_cell_length_c 5.1052
_cell_angle_alpha 133.96
_cell_angle_beta 133.92
_cell_angle_gamma 67.18
_symmetry_space_group_name_H-M 'P 1'
_symmetry_Int_Tables_number 1
loop_
_symmetry_equiv_pos_as_xyz
'x,y,z'
loop_
_atom_site_label
_atom_site_fract_x
_atom_site_fract_y
_atom_site_fract_z
_atom_site_occupancy
Zn1 0.7497 0.2497 0.5000 1
Zn2 0.0000 0.0000 0.0000 1
Mn1 0.5001 0.5001 0.0000 1
Sb1 0.2502 0.7502 0.5000 1

=====

# MnZnSb4 PBE relaxed
# raw total energy = -3.91 eV/atom
# total magnetization = 5.25 μB/f.u.
# formation energy from raw total energies = 0.576 eV per atom
# space group = F-43m
data_MnZnSb4
_cell_length_a 6.1950
_cell_length_b 6.1950
_cell_length_c 6.1950
_cell_angle_alpha 60.00
_cell_angle_beta 60.00
_cell_angle_gamma 60.00
_symmetry_space_group_name_H-M 'P 1'
_symmetry_Int_Tables_number 1
loop_
_symmetry_equiv_pos_as_xyz
'x,y,z'
loop_
_atom_site_label
_atom_site_fract_x
_atom_site_fract_y
_atom_site_fract_z
_atom_site_occupancy
Zn1 0.7500 0.7500 0.7500 1
Sb1 0.3752 0.3752 0.3752 1
Sb2 0.3752 0.3752 0.8743 1
Sb3 0.8743 0.3752 0.3752 1
Sb4 0.3752 0.8743 0.3752 1
Mn1 0.0000 0.0000 0.0000 1

=====

# MnZn2Sb2 PBE relaxed
# raw total energy = -3.73 eV/atom
# total magnetization = 3.92 μB/f.u.
# formation energy from raw total energies = 0.264 eV per atom
# space group = P4/mbm
data_MnZn2Sb2
_cell_length_a 7.4167
_cell_length_b 7.4167
_cell_length_c 3.9609
_cell_angle_alpha 90.00
_cell_angle_beta 90.00
_cell_angle_gamma 90.00
_symmetry_space_group_name_H-M 'P 1'
_symmetry_Int_Tables_number 1
loop_
_symmetry_equiv_pos_as_xyz
'x,y,z'
loop_
_atom_site_label
_atom_site_fract_x
_atom_site_fract_y
_atom_site_fract_z
_atom_site_occupancy
Sb1 0.1797 0.3203 0.0000 1
Sb2 0.3203 0.8203 0.0000 1
Sb3 0.6797 0.1797 0.0000 1
Sb4 0.8203 0.6797 0.0000 1
Mn1 0.5000 0.5000 0.0000 1
Mn2 0.0000 0.0000 0.0000 1
Zn1 0.1267 0.6267 0.5000 1
Zn2 0.3733 0.1267 0.5000 1
Zn3 0.6267 0.8733 0.5000 1
Zn4 0.8733 0.3733 0.5000 1

=====

# MnZn2Sb PBE relaxed
# raw total energy = -3.65 eV/atom
# total magnetization = 3.51 μB/f.u.
# formation energy from raw total energies = 0.306 eV per atom
# space group = F-43m
data_MnZn2Sb
_cell_length_a 4.6937
_cell_length_b 4.6937
_cell_length_c 4.6937
_cell_angle_alpha 60.00
_cell_angle_beta 60.00
_cell_angle_gamma 60.00
_symmetry_space_group_name_H-M 'P 1'
_symmetry_Int_Tables_number 1
loop_
_symmetry_equiv_pos_as_xyz
'x,y,z'
loop_
_atom_site_label
_atom_site_fract_x
_atom_site_fract_y
_atom_site_fract_z
_atom_site_occupancy
Zn1 0.2500 0.2500 0.2500 1
Zn2 0.0000 0.0000 0.0000 1
Mn1 0.5000 0.5000 0.5000 1
Sb1 0.7500 0.7500 0.7500 1

=====

# Mn2ZnSb2 PBE relaxed
# raw total energy = -5.42 eV/atom
# total magnetization = 6.16 μB/f.u.
# formation energy from raw total energies = 0.156 eV per atom
# space group = P4/mbm
data_Mn2ZnSb2
_cell_length_a 7.1236
_cell_length_b 7.1236
_cell_length_c 3.7367
_cell_angle_alpha 90.00
_cell_angle_beta 90.00
_cell_angle_gamma 90.00
_symmetry_space_group_name_H-M 'P 1'
_symmetry_Int_Tables_number 1
loop_
_symmetry_equiv_pos_as_xyz
'x,y,z'
loop_
_atom_site_label
_atom_site_fract_x
_atom_site_fract_y
_atom_site_fract_z
_atom_site_occupancy
Zn1 0.5000 0.5000 0.0000 1
Zn2 0.0000 0.0000 0.0000 1
Sb1 0.1660 0.6660 0.5000 1
Sb2 0.8340 0.3340 0.5000 1
Sb3 0.6660 0.8340 0.5000 1
Sb4 0.3340 0.1660 0.5000 1
Mn1 0.6331 0.1331 0.0000 1
Mn2 0.8669 0.6331 0.0000 1
Mn3 0.3669 0.8669 0.0000 1
Mn4 0.1331 0.3669 0.0000 1

=====

# MnZn2Sb PBE relaxed
# raw total energy = -3.82 eV/atom
# total magnetization = 3.24 μB/f.u.
# formation energy from raw total energies = 0.141 eV per atom
# space group = Pm
data_MnZn2Sb
_cell_length_a 4.1071
_cell_length_b 3.2711
_cell_length_c 5.4185
_cell_angle_alpha 90.22
_cell_angle_beta 90.00
_cell_angle_gamma 90.00
_symmetry_space_group_name_H-M 'P 1'
_symmetry_Int_Tables_number 1
loop_
_symmetry_equiv_pos_as_xyz
'x,y,z'
loop_
_atom_site_label
_atom_site_fract_x
_atom_site_fract_y
_atom_site_fract_z
_atom_site_occupancy
Sb1 0.5000 0.8772 0.6983 1
Zn1 0.5000 0.3730 0.1855 1
Zn2 0.0000 0.8729 0.1147 1
Mn1 0.0000 0.3769 0.5015 1

=====

# MnZn2Sb PBE relaxed
# raw total energy = -3.81 eV/atom
# total magnetization = 2.83 μB/f.u.
# formation energy from raw total energies = 0.148 eV per atom
# space group = P4mm
data_MnZn2Sb
_cell_length_a 3.5438
_cell_length_b 3.5438
_cell_length_c 5.5298
_cell_angle_alpha 90.00
_cell_angle_beta 90.00
_cell_angle_gamma 90.00
_symmetry_space_group_name_H-M 'P 1'
_symmetry_Int_Tables_number 1
loop_
_symmetry_equiv_pos_as_xyz
'x,y,z'
loop_
_atom_site_label
_atom_site_fract_x
_atom_site_fract_y
_atom_site_fract_z
_atom_site_occupancy
Sb1 0.5000 0.5000 0.7243 1
Zn1 0.0000 0.0000 0.0311 1
Zn2 0.5000 0.5000 0.2368 1
Mn1 0.0000 0.0000 0.5078 1

=====

# MnZn2Sb PBE relaxed
# raw total energy = -3.80 eV/atom
# total magnetization = 3.65 μB/f.u.
# formation energy from raw total energies = 0.163 eV per atom
# space group = Cm
data_MnZn2Sb
_cell_length_a 4.5487
_cell_length_b 4.5487
_cell_length_c 5.5852
_cell_angle_alpha 80.54
_cell_angle_beta 80.54
_cell_angle_gamma 40.66
_symmetry_space_group_name_H-M 'P 1'
_symmetry_Int_Tables_number 1
loop_
_symmetry_equiv_pos_as_xyz
'x,y,z'
loop_
_atom_site_label
_atom_site_fract_x
_atom_site_fract_y
_atom_site_fract_z
_atom_site_occupancy
Sb1 0.2386 0.2386 0.2728 1
Zn1 0.0140 0.0140 0.9315 1
Zn2 0.7535 0.7535 0.7555 1
Mn1 0.4938 0.4938 0.5403 1